{"formula": "KMnIr2", "functional": "PBEsol", "state": "relaxed", "e_tot_ev_per_cell": -28.10, "vol_a3_per_cell": 72.13, "e_above_lowest_polymorph_mev_per_atom": 0.0, "cell": [[2.766, 0.000, 0.000], [0.000, 2.766, 0.000], [0.000, 0.000, 9.427]], "species": ["K", "Mn", "Ir", "Ir"], "fractional_positions": [[0.000, 0.000, 0.000], [0.500, 0.500, 0.337], [0.000, 0.000, 0.528], [0.500, 0.500, 0.718]]}

{"formula": "KMn3Ir", "functional": "PBEsol", "state": "relaxed", "e_tot_ev_per_cell": -35.28, "vol_a3_per_cell": 119.59, "cell": [[4.927, 0.000, 0.000], [0.000, 4.927, 0.000], [0.000, 0.000, 4.927]], "species": ["K", "Mn", "Mn", "Mn", "Ir"], "fractional_positions": [[0.000, 0.000, 0.000], [0.000, 0.500, 0.500], [0.500, 0.000, 0.500], [0.500, 0.500, 0.000], [0.500, 0.500, 0.500]]}

{"formula": "KMnIr2", "functional": "PBEsol", "state": "relaxed", "e_tot_ev_per_cell": -28.10, "vol_a3_per_cell": 77.45, "e_above_lowest_polymorph_mev_per_atom": 1.8, "cell": [[2.737, 0.000, 0.000], [0.000, 3.708, 0.000], [-0.013, 0.000, 7.632]], "species": ["K", "Mn", "Ir", "Ir"], "fractional_positions": [[0.000, 0.000, 0.000], [0.504, 0.500, 0.643], [0.003, 0.000, 0.491], [0.502, 0.500, 0.317]]}

{"formula": "KMnIr2", "functional": "PBEsol", "state": "relaxed", "e_tot_ev_per_cell": -27.11, "vol_a3_per_cell": 73.09, "e_above_lowest_polymorph_mev_per_atom": 249.1, "cell": [[-1.349, 2.582, 5.246], [1.349, -2.582, 5.246], [1.349, 2.582, -5.246]], "species": ["K", "Mn", "Ir", "Ir"], "fractional_positions": [[0.000, 0.000, 0.000], [0.295, 0.795, 0.500], [0.504, 0.504, 0.000], [0.709, 0.209, 0.500]]}

{"formula": "K3MnIr", "functional": "PBEsol", "state": "relaxed", "e_tot_ev_per_cell": -13.84, "vol_a3_per_cell": 205.39, "cell": [[5.900, 0.000, 0.000], [0.000, 5.900, 0.000], [0.000, 0.000, 5.900]], "species": ["K", "K", "K", "Mn", "Ir"], "fractional_positions": [[0.000, 0.000, 0.500], [0.000, 0.500, 0.000], [0.500, 0.000, 0.000], [0.000, 0.000, 0.000], [0.500, 0.500, 0.500]]}

{"formula": "KMo2Ir", "functional": "PBEsol", "state": "relaxed", "e_tot_ev_per_cell": -31.59, "vol_a3_per_cell": 84.03, "e_above_lowest_polymorph_mev_per_atom": 0.0, "cell": [[2.706, 0.000, 0.000], [0.000, 3.776, 0.000], [0.000, 0.000, 8.224]], "species": ["K", "Mo", "Mo", "Ir"], "fractional_positions": [[0.000, 0.000, 0.000], [0.000, 0.000, 0.544], [0.500, 0.500, 0.359], [0.500, 0.500, 0.684]]}